# Cs2TmPbF6

A relaxed Cs2TmPbF6 crystal (GGA-PBE, Alexandria via LeMat-Bulk).

## Properties
As for the total energy: -5.1018 eV/atom. As for the symmetry: No. 59.

Unit cell a=6.4803 b=7.7182 c=9.2405 alpha=90.00 beta=90.00 gamma=90.00
Each line ends with the local moment (μB).
Fractional positions:
Cs 0.0000 0.2061 0.2536  0.02
Cs 0.5000 0.7939 0.2464  0.02
Cs 0.5000 0.7939 0.7536  0.02
Cs 0.0000 0.2061 0.7464  0.02
F 0.0000 0.7759 0.7653  0.01
F 0.2310 0.9675 0.0000  0.01
F 0.2690 0.0325 0.5000  0.01
F 0.7690 0.9675 0.0000  0.01
F 0.2536 0.5881 0.0000  0.01
F 0.5000 0.2241 0.7347  0.01
F 0.2464 0.4119 0.5000  0.01
F 0.7464 0.5881 0.0000  0.01
F 0.5000 0.2241 0.2653  0.01
F 0.7536 0.4119 0.5000  0.01
F 0.0000 0.7759 0.2347  0.01
F 0.7310 0.0325 0.5000  0.01
Pb 0.0000 0.7097 0.5000  0.31
Pb 0.5000 0.2903 0.0000  0.31
Tm 0.0000 0.7661 0.0000  0.01
Tm 0.5000 0.2339 0.5000  0.01

# LaNdI2

A relaxed LaNdI2 crystal (GGA-PBE, Alexandria via LeMat-Bulk).

## Properties
As for the symmetry: No. 160. Its relative energy among the computed polymorphs is 0.00 eV per formula unit.

Unit cell a=3.9555 b=3.9555 c=9.9696 alpha=78.56 beta=78.56 gamma=60.00
Fractional positions:
I 0.0849 0.0849 0.7453
I 0.2485 0.2485 0.2544
Nd 0.5014 0.5014 0.4956
La 0.6651 0.6651 0.0047

# KRbLi2Ge

A relaxed KRbLi2Ge crystal (GGA-PBE, Alexandria via LeMat-Bulk).

## Properties
The formation energy is -0.002 eV per atom. As for the symmetry: No. 123. Its relative energy among the computed polymorphs is 0.00 eV per formula unit.

Unit cell a=5.3283 b=5.3283 c=6.3431 alpha=90.00 beta=90.00 gamma=90.00
Fractional positions:
Rb 0.5000 0.5000 0.5000
K 0.0000 0.0000 0.5000
Ge 0.0000 0.0000 0.0000
Li 0.0000 0.5000 0.0000
Li 0.5000 0.0000 0.0000

# KZnSe2

A relaxed KZnSe2 crystal (GGA-PBE, Alexandria via LeMat-Bulk).

## Properties
As for the total energy: -2.8297 eV/atom. As for the symmetry: No. 71.

Unit cell a=5.9166 b=5.9166 c=5.9166 alpha=143.50 beta=109.89 gamma=81.71
Each line ends with the local moment (μB).
Fractional positions:
Zn 0.7500 0.2500 0.5000  0.01
Se 0.5640 0.5640 0.0000  0.05
Se 0.9360 0.9360 0.0000  0.05
K 0.2500 0.7500 0.5000  0.00

# AlTlBr3

A relaxed AlTlBr3 crystal (GGA-PBE, Alexandria via LeMat-Bulk).

## Properties
As for the symmetry: No. 221. Its relative energy among the computed polymorphs is 3.49 eV per formula unit.

Unit cell a=5.7698 b=5.7698 c=5.7698 alpha=90.00 beta=90.00 gamma=90.00
Fractional positions:
Br 0.5000 0.0000 0.0000
Br 0.0000 0.5000 0.0000
Br 0.0000 0.0000 0.5000
Tl 0.0000 0.0000 0.0000
Al 0.5000 0.5000 0.5000

# Tb12Pm7Sm

A relaxed Tb12Pm7Sm crystal (GGA-PBE, Alexandria via LeMat-Bulk).

## Properties
The formation energy is 0.232 eV per atom. As for the symmetry: No. 148. Its relative energy among the computed polymorphs is 0.00 eV per formula unit.

Unit cell a=8.8076 b=8.8076 c=8.8076 alpha=86.27 beta=86.27 gamma=86.27
Fractional positions:
Tb 0.3812 0.8670 0.5048
Tb 0.4952 0.6188 0.1330
Tb 0.8670 0.5048 0.3812
Tb 0.8519 0.2548 0.7253
Tb 0.7253 0.8519 0.2548
Tb 0.5048 0.3812 0.8670
Tb 0.7452 0.2747 0.1481
Tb 0.1330 0.4952 0.6188
Tb 0.2548 0.7253 0.8519
Tb 0.1481 0.7452 0.2747
Tb 0.2747 0.1481 0.7452
Tb 0.6188 0.1330 0.4952
Sm 0.0000 0.0000 0.0000
Pm 0.1545 0.3982 0.0760
Pm 0.6018 0.9240 0.8455
Pm 0.0760 0.1545 0.3982
Pm 0.9240 0.8455 0.6018
Pm 0.5000 0.5000 0.5000
Pm 0.8455 0.6018 0.9240
Pm 0.3982 0.0760 0.1545

# Re3HI

A relaxed Re3HI crystal (GGA-PBE, Alexandria via LeMat-Bulk).

## Properties
As for the symmetry: No. 221. Its relative energy among the computed polymorphs is 0.00 eV per formula unit.

Unit cell a=4.1141 b=4.1141 c=4.1141 alpha=90.00 beta=90.00 gamma=90.00
Fractional positions:
Re 0.5000 0.0000 0.0000
Re 0.0000 0.0000 0.5000
Re 0.0000 0.5000 0.0000
I 0.5000 0.5000 0.5000
H 0.0000 0.0000 0.0000

# KLi3Ag4Cl12

A relaxed KLi3Ag4Cl12 crystal (GGA-PBE, Alexandria via LeMat-Bulk).

## Properties
As for the total energy: -2.9295 eV/atom. As for the symmetry: No. 204.

Unit cell a=8.4263 b=8.4263 c=8.4263 alpha=109.47 beta=109.47 gamma=109.47
Fractional positions:
Cl 0.3102 0.8187 0.1288
Cl 0.4915 0.3102 0.1813
Cl 0.8187 0.1288 0.3102
Cl 0.3102 0.1813 0.4915
Cl 0.6898 0.1813 0.8712
Cl 0.8187 0.5085 0.6898
Cl 0.6898 0.8187 0.5085
Cl 0.1288 0.3102 0.8187
Cl 0.1813 0.8712 0.6898
Cl 0.5085 0.6898 0.8187
Cl 0.8712 0.6898 0.1813
Cl 0.1813 0.4915 0.3102
Ag 0.0000 0.0000 0.5000
Ag 0.0000 0.5000 0.0000
Ag 0.5000 0.5000 0.5000
Ag 0.5000 0.0000 0.0000
Li 0.5000 0.0000 0.5000
Li 0.5000 0.5000 0.0000
Li 0.0000 0.5000 0.5000
K 0.0000 0.0000 0.0000

# ScRhI2

A relaxed ScRhI2 crystal (GGA-PBE, Alexandria via LeMat-Bulk).

## Properties
As for the symmetry: No. 122. Its relative energy among the computed polymorphs is 0.00 eV per formula unit.

Unit cell a=5.1953 b=5.1953 c=8.9745 alpha=73.18 beta=73.18 gamma=90.00
Fractional positions:
I 0.3750 0.3565 0.7500
I 0.1065 0.6250 0.2500
I 0.6435 0.1250 0.2500
I 0.8750 0.8935 0.7500
Rh 0.7500 0.2500 0.5000
Rh 0.0000 0.0000 0.0000
Sc 0.2500 0.7500 0.5000
Sc 0.5000 0.5000 0.0000

# ScGa4Ni2

A relaxed ScGa4Ni2 crystal (GGA-PBE, Alexandria via LeMat-Bulk).

## Properties
The formation energy is -0.501 eV per atom. As for the symmetry: No. 62.

Unit cell a=4.0600 b=6.3473 c=16.4973 alpha=90.00 beta=90.00 gamma=90.00
Fractional positions:
Ni 0.7500 0.0304 0.2154
Ni 0.2500 0.9696 0.7846
Ni 0.2500 0.7449 0.0394
Ni 0.7500 0.2449 0.4606
Ni 0.2500 0.5304 0.2846
Ni 0.2500 0.7551 0.5394
Ni 0.7500 0.2551 0.9606
Ni 0.7500 0.4696 0.7154
Sc 0.2500 0.4814 0.8583
Sc 0.7500 0.5186 0.1417
Sc 0.7500 0.9814 0.6417
Sc 0.2500 0.0186 0.3583
Ga 0.7500 0.5067 0.5693
Ga 0.7500 0.6462 0.9657
Ga 0.7500 0.9933 0.0693
Ga 0.7500 0.7664 0.8070
Ga 0.2500 0.8190 0.1859
Ga 0.2500 0.2664 0.6930
Ga 0.7500 0.1810 0.8141
Ga 0.7500 0.8538 0.4657
Ga 0.2500 0.3538 0.0343
Ga 0.7500 0.7336 0.3070
Ga 0.2500 0.6810 0.6859
Ga 0.2500 0.2336 0.1930
Ga 0.2500 0.0067 0.9307
Ga 0.2500 0.4933 0.4307
Ga 0.2500 0.1462 0.5343
Ga 0.7500 0.3190 0.3141

# SbHRh6Pb2

A relaxed SbHRh6Pb2 crystal (GGA-PBE, Alexandria via LeMat-Bulk).

## Properties
As for the total energy: -5.5045 eV/atom. As for the symmetry: No. 123.

Unit cell a=4.6872 b=4.6872 c=8.1989 alpha=90.00 beta=90.00 gamma=90.00
Fractional positions:
Rh 0.5000 0.5000 0.2985
Rh 0.0000 0.5000 0.5000
Rh 0.0000 0.5000 0.0000
Rh 0.5000 0.0000 0.5000
Rh 0.5000 0.5000 0.7015
Rh 0.5000 0.0000 0.0000
Sb 0.5000 0.5000 0.0000
H 0.5000 0.5000 0.5000
Pb 0.0000 0.0000 0.2705
Pb 0.0000 0.0000 0.7295

# Nd12Sb3O5

A relaxed Nd12Sb3O5 crystal (GGA-PBE, Alexandria via LeMat-Bulk).

## Properties
As for the total energy: -6.3850 eV/atom. As for the symmetry: No. 230.

Unit cell a=13.9942 b=13.9942 c=13.9942 alpha=109.47 beta=109.47 gamma=109.47
Fractional positions:
Nd 0.8131 0.9115 0.3029
Nd 0.6869 0.4897 0.5983
Nd 0.8914 0.5885 0.9017
Nd 0.5983 0.9897 0.6869
Nd 0.5103 0.3131 0.9017
Nd 0.9897 0.3914 0.3029
Nd 0.8029 0.3131 0.9115
Nd 0.4897 0.6869 0.0983
Nd 0.9897 0.5983 0.1869
Nd 0.9115 0.8131 0.8029
Nd 0.9115 0.0983 0.6086
Nd 0.5885 0.8914 0.4017
Nd 0.6086 0.5983 0.9115
Nd 0.0103 0.6086 0.6971
Nd 0.0103 0.4017 0.8131
Nd 0.9017 0.0885 0.8914
Nd 0.0885 0.1869 0.1971
Nd 0.6086 0.0103 0.1971
Nd 0.1971 0.6869 0.0885
Nd 0.1869 0.0885 0.6971
Nd 0.1086 0.6971 0.5103
Nd 0.4115 0.3029 0.3131
Nd 0.4897 0.8029 0.8914
Nd 0.0983 0.9115 0.1086
Nd 0.0983 0.1869 0.4897
Nd 0.1869 0.0983 0.9897
Nd 0.8914 0.3029 0.4897
Nd 0.3914 0.9897 0.8029
Nd 0.6971 0.1086 0.0103
Nd 0.1971 0.5103 0.6086
Nd 0.4017 0.0103 0.3131
Nd 0.5885 0.6971 0.6869
Nd 0.8131 0.9017 0.0103
Nd 0.3131 0.8029 0.4115
Nd 0.6869 0.1971 0.5885
Nd 0.4115 0.1086 0.5983
Nd 0.1086 0.4115 0.0983
Nd 0.4017 0.3914 0.5885
Nd 0.3029 0.4115 0.8131
Nd 0.3029 0.8914 0.9897
Nd 0.0885 0.9017 0.3914
Nd 0.5103 0.1971 0.1086
Nd 0.9017 0.8131 0.5103
Nd 0.6971 0.5885 0.1869
Nd 0.8029 0.4897 0.3914
Nd 0.3131 0.5103 0.4017
Nd 0.5983 0.6086 0.4115
Nd 0.3914 0.4017 0.0885
Sb 0.3750 0.6250 0.2500
Sb 0.2500 0.1250 0.3750
Sb 0.6250 0.2500 0.3750
Sb 0.7500 0.8750 0.6250
Sb 0.1250 0.8750 0.7500
Sb 0.8750 0.1250 0.2500
Sb 0.3750 0.7500 0.6250
Sb 0.2500 0.6250 0.8750
Sb 0.6250 0.3750 0.7500
Sb 0.7500 0.3750 0.1250
Sb 0.1250 0.2500 0.8750
Sb 0.8750 0.7500 0.1250
O 0.0000 0.0000 0.5000
O 0.6250 0.7500 0.8750
O 0.5000 0.5000 0.0000
O 0.0000 0.5000 0.5000
O 0.0000 0.0000 0.0000
O 0.3750 0.2500 0.1250
O 0.2500 0.3750 0.6250
O 0.6250 0.8750 0.2500
O 0.0000 0.5000 0.0000
O 0.5000 0.0000 0.0000
O 0.2500 0.8750 0.1250
O 0.3750 0.1250 0.7500
O 0.7500 0.6250 0.3750
O 0.7500 0.1250 0.8750
O 0.5000 0.5000 0.5000
O 0.8750 0.6250 0.7500
O 0.1250 0.7500 0.3750
O 0.1250 0.3750 0.2500
O 0.5000 0.0000 0.5000
O 0.8750 0.2500 0.6250